Record 1
# UGe6Pd12 | Alexandria | PBE | relaxed
# formation enthalpy at 0 K: -0.3756 eV/atom
# spin magnetization: 0.159 μB/atom
# D(E_F): 30.6 states/eV per cell
# total DFT energy (no corrections): -325.3 eV for the cell shown
data_UGe6Pd12
_cell_length_a 11.5506
_cell_length_b 11.5506
_cell_length_c 8.4525
_cell_angle_alpha 90.00
_cell_angle_beta 90.00
_cell_angle_gamma 120.00
_symmetry_space_group_name_H-M 'R -3 m'
_symmetry_Int_Tables_number 166
_symmetry_space_group_name_Hall '-R 3 2"'
loop_
_atom_site_label
_atom_site_type_symbol
_atom_site_fract_x
_atom_site_fract_y
_atom_site_fract_z
_atom_site_occupancy
U1 U 0.0000 0.0000 0.0000 1
Ge1 Ge 0.0400 0.5200 0.2626 1
Pd1 Pd 0.0000 0.3776 0.5000 1
Pd2 Pd 0.0845 0.1690 0.3310 1



Record 2
# Ba4Pb2N | Alexandria | PBE | relaxed
# spin magnetization: 0.000 μB/atom
# D(E_F): 13.9 states/eV per cell
# total DFT energy (no corrections): -52.6 eV for the cell shown
data_Ba4Pb2N
_cell_length_a 5.850
_cell_length_b 5.850
_cell_length_c 16.570
_cell_angle_alpha 90.00
_cell_angle_beta 90.00
_cell_angle_gamma 90.00
_symmetry_space_group_name_H-M 'I 4/m m m'
_symmetry_Int_Tables_number 139
_symmetry_space_group_name_Hall '-I 4 2'
loop_
_atom_site_label
_atom_site_type_symbol
_atom_site_fract_x
_atom_site_fract_y
_atom_site_fract_z
_atom_site_occupancy
Ba1 Ba 0.000 0.000 0.159 1
Ba2 Ba 0.000 0.500 0.000 1
Pb1 Pb 0.000 0.000 0.376 1
N1 N 0.000 0.000 0.000 1